The following is a DFT calculation (PBE-GGA) of a relaxed structure of ErSO4.

Output
- Space-group type: No. 119
- Raw formation energy: -1.891 eV per atom
- Magnetic moment: 0.075 μB/f.u.
- Volume: 197 Å³ per cell

a = 6.833 Å, b = 6.833 Å, c = 4.222 Å
α = 90.00°, β = 90.00°, γ = 90.00°
Element x y z (fractional)
1 Er 0.000 0.000 0.000
2 Er 0.500 0.500 0.500
3 S 0.000 0.500 0.250
4 S 0.500 0.000 0.750
5 O 0.000 0.322 0.049
6 O 0.000 0.678 0.049
7 O 0.178 0.500 0.451
8 O 0.322 0.000 0.951
9 O 0.500 0.178 0.549
10 O 0.500 0.822 0.549
11 O 0.678 0.000 0.951
12 O 0.822 0.500 0.451

=====

The following is a DFT calculation (PBE-GGA) of a relaxed structure of ErSO4.

Output
- Space-group type: No. 141
- Raw formation energy: -1.895 eV per atom
- Magnetic moment: 0.000 μB/f.u.
- Volume: 155 Å³ per cell

a = 5.888 Å, b = 5.888 Å, c = 5.888 Å
α = 106.08°, β = 106.08°, γ = 116.50°
Element x y z (fractional)
1 Er 0.375 0.625 0.750
2 Er 0.625 0.375 0.250
3 S 0.125 0.875 0.250
4 S 0.875 0.125 0.750
5 O 0.122 0.698 0.424
6 O 0.226 0.302 0.924
7 O 0.302 0.226 0.424
8 O 0.302 0.878 0.076
9 O 0.698 0.122 0.924
10 O 0.698 0.774 0.576
11 O 0.774 0.698 0.076
12 O 0.878 0.302 0.576